First-principles (PBE+U) data for a geometry-optimized Li4Fe7O12 structure, as listed in Alexandria. Values from VASP.

Computed properties:
The uncorrected energy comes out at -6.240 eV per atom. Its calculated density is 4.47 g cm⁻³.

Structure (Quantum ESPRESSO input):
```
&SYSTEM
  ibrav = 0, nat = 46, ntyp = 3
/
ATOMIC_SPECIES
Li 6.94 Li.upf
Fe 55.84 Fe.upf
O 16.00 O.upf
ATOMIC_POSITIONS crystal
Li 0.918 0.007 0.743
Li 0.922 0.488 0.260
Li 0.583 0.759 0.503
Li 0.585 0.501 0.257
Li 0.418 0.993 0.257
Li 0.422 0.512 0.740
Li 0.083 0.241 0.497
Li 0.085 0.499 0.743
Fe 0.919 0.255 0.003
Fe 0.748 0.238 0.508
Fe 0.925 0.749 0.495
Fe 0.752 0.993 0.256
Fe 0.745 0.757 0.992
Fe 0.577 0.241 0.997
Fe 0.743 0.514 0.742
Fe 0.425 0.251 0.505
Fe 0.245 0.243 0.008
Fe 0.419 0.745 0.997
Fe 0.252 0.007 0.744
Fe 0.248 0.762 0.492
Fe 0.243 0.486 0.258
Fe 0.077 0.759 0.003
O 0.899 0.116 0.382
O 0.910 0.892 0.114
O 0.768 0.865 0.621
O 0.753 0.154 0.882
O 0.903 0.387 0.623
O 0.918 0.612 0.878
O 0.592 0.130 0.382
O 0.762 0.636 0.372
O 0.581 0.886 0.123
O 0.747 0.355 0.121
O 0.579 0.596 0.880
O 0.592 0.392 0.614
O 0.399 0.884 0.618
O 0.410 0.108 0.886
O 0.268 0.135 0.379
O 0.403 0.613 0.377
O 0.253 0.846 0.118
O 0.418 0.388 0.122
O 0.262 0.364 0.628
O 0.247 0.645 0.879
O 0.081 0.114 0.877
O 0.092 0.870 0.618
O 0.092 0.608 0.386
O 0.079 0.404 0.120
CELL_PARAMETERS angstrom
-3.403 -0.633 -8.325
2.763 -4.326 -0.800
-6.377 -6.819 3.125
```